# 1
Compound: Pm4NiBr5
Source: the Alexandria database
Functional: PBE
Structure: optimized geometry

Cell and atoms, written as extended XYZ:
```
10
Lattice="9.4144 -2.0165 0.0000 9.4144 2.0165 0.0000 -2.0236 0.0000 8.4140" Properties=species:S:1:pos:R:3 pbc="T T T"
Pm 18.3926 0.0000 1.8124
Pm -1.5874 0.0000 6.6016
Pm 4.7407 0.0000 7.7071
Pm 12.0645 0.0000 0.7068
Ni 9.4144 0.0000 0.0000
Br 2.4436 0.0000 2.8855
Br 1.5811 0.0000 7.0519
Br 8.4026 0.0000 4.2070
Br 15.2241 0.0000 1.3620
Br 14.3616 0.0000 5.5285
```

Results
Space-group type: C2/m (12)
Formation energy (no corrections) in eV per atom: -1.37

---

# 2
Compound: FeRuPt2
Source: the Alexandria database
Functional: PBE
Structure: optimized geometry

Cell and atoms, written as extended XYZ:
```
4
Lattice="4.5361 -1.3682 0.0000 4.5361 1.3682 0.0000 -0.8401 0.0000 4.6618" Properties=species:S:1:pos:R:3 pbc="T T T"
Fe 0.0000 0.0000 0.0000
Ru 4.1160 0.0000 2.3309
Pt 1.6390 0.0000 3.4964
Pt 6.5931 0.0000 1.1655
```

Results
Formation energy from the elements in eV per atom: 0.015
Space-group type: C2/m (12)

---

# 3
Compound: Sr5BiSb2As
Source: the Alexandria database
Functional: PBE
Structure: optimized geometry

Cell and atoms, written as extended XYZ:
```
9
Lattice="-2.7845 4.0070 8.2078 2.7845 -4.0070 8.2078 2.7845 4.0070 -8.2078" Properties=species:S:1:pos:R:3 pbc="T T T"
Sr 0.0000 0.0000 0.0000
Sr 2.7845 1.9929 -2.3110
Sr 2.7845 1.9929 2.3110
Sr 0.0000 2.0141 5.8968
Sr 0.0000 2.0141 10.5189
Bi 0.0000 4.0070 0.0000
Sb 0.0000 0.0000 3.2775
Sb 0.0000 0.0000 13.1381
As 2.7845 0.0000 0.0000
```

Results
Space-group type: Immm (71)
Formation energy (no corrections) in eV per atom: -0.79

---

# 4
Compound: BaGa2CoSn
Source: the Alexandria database
Functional: PBE
Structure: optimized geometry

Cell and atoms, written as extended XYZ:
```
5
Lattice="4.8092 0.0000 0.0000 0.0000 4.8092 0.0000 0.0000 0.0000 5.0222" Properties=species:S:1:pos:R:3 pbc="T T T"
Ba 0.0000 0.0000 0.0000
Ga 0.0000 2.4046 2.5111
Ga 2.4046 0.0000 2.5111
Co 2.4046 2.4046 2.5111
Sn 2.4046 2.4046 0.0000
```

Results
Formation energy from the elements in eV per atom: -0.273
Space-group type: P4/mmm (123)

---

# 5
Compound: Ac2Mg15Zn2
Source: the Alexandria database
Functional: PBE
Structure: optimized geometry

Cell and atoms, written as extended XYZ:
```
19
Lattice="5.1611 2.9797 5.0556 -5.1611 2.9797 5.0556 0.0000 -5.9595 5.0556" Properties=species:S:1:pos:R:3 pbc="T T T"
Ac 0.0000 0.0000 2.6066
Ac 0.0000 0.0000 12.5601
Mg -2.5805 -1.4899 5.0556
Mg 0.0000 -3.0121 4.8503
Mg -2.6085 1.5060 4.8503
Mg -1.5099 -2.6153 7.5834
Mg -3.0198 0.0000 7.5834
Mg -2.6085 -1.5060 10.3164
Mg -2.5805 1.4899 10.1111
Mg 1.5099 -2.6153 7.5833
Mg 0.0000 2.9797 5.0556
Mg -1.5099 2.6153 7.5833
Mg 2.6085 1.5060 4.8503
Mg 3.0198 0.0000 7.5833
Mg 1.5099 2.6153 7.5833
Mg 2.6085 -1.5060 10.3164
Mg 0.0000 3.0121 10.3164
Zn 0.0000 0.0000 6.1727
Zn 0.0000 0.0000 8.9940
```

Results
Formation energy from the elements in eV per atom: -0.072
Space-group type: R-3m (166)

---

# 6
Compound: BeNbSnB2
Source: the Alexandria database
Functional: PBE
Structure: optimized geometry

Cell and atoms, written as extended XYZ:
```
5
Lattice="4.3100 0.0000 0.0000 0.0000 4.3100 0.0000 0.0000 0.0000 4.6114" Properties=species:S:1:pos:R:3 pbc="T T T"
Be 0.0000 0.0000 0.0000
Nb 0.0000 0.0000 2.3057
Sn 2.1550 2.1550 0.0000
B 0.0000 2.1550 2.3057
B 2.1550 0.0000 2.3057
```

Results
Formation energy from the elements in eV per atom: 1.266
Space-group type: P4/mmm (123)

---

# 7
Compound: Rb2AsOs4
Source: the Alexandria database
Functional: PBE
Structure: optimized geometry

Cell and atoms, written as extended XYZ:
```
7
Lattice="-2.3427 2.3427 9.2500 2.3427 -2.3427 9.2500 2.3427 2.3427 -9.2500" Properties=species:S:1:pos:R:3 pbc="T T T"
Rb 0.0000 0.0000 3.0489
Rb 0.0000 0.0000 15.4511
As 0.0000 0.0000 9.2500
Os 2.3427 0.0000 0.0000
Os 0.0000 0.0000 6.9955
Os 0.0000 2.3427 0.0000
Os 0.0000 0.0000 11.5044
```

Results
Formation energy from the elements in eV per atom: 2.140
Space-group type: I4/mmm (139)

---

# 8
Compound: PaCu2ReO8
Source: the Alexandria database
Functional: PBE
Structure: optimized geometry

Cell and atoms, written as extended XYZ:
```
12
Lattice="3.3876 -3.2264 0.0000 3.3876 3.2264 0.0000 -0.8239 0.0000 6.6956" Properties=species:S:1:pos:R:3 pbc="T T T"
Pa 0.0000 0.0000 0.0000
Cu 2.7741 0.0000 4.8701
Cu 3.1772 0.0000 1.8255
Re -0.4120 0.0000 3.3478
O 3.1349 1.9424 1.8963
O 2.8163 1.9424 4.7992
O 1.4302 0.0000 3.5362
O 1.9805 0.0000 0.3153
O 3.9708 0.0000 6.3803
O 4.5210 0.0000 3.1593
O 3.1349 -1.9424 1.8963
O 2.8163 -1.9424 4.7992
```

Results
Space-group type: C2/m (12)
Formation energy (no corrections) in eV per atom: -1.71

---

# 9
Compound: BaLiCu2Cl8
Source: the Alexandria database
Functional: PBE
Structure: optimized geometry

Cell and atoms, written as extended XYZ:
```
12
Lattice="6.3532 0.0000 0.0000 -3.1766 5.5020 0.0000 0.0000 0.0000 8.6746" Properties=species:S:1:pos:R:3 pbc="T T T"
Ba 0.0000 0.0000 0.0000
Li 0.0000 0.0000 4.3373
Cu 0.0000 3.6680 6.3619
Cu 3.1766 1.8340 2.3127
Cl -0.9636 1.7013 5.9762
Cl -1.2215 5.4858 5.9762
Cl 0.9916 1.6851 2.6984
Cl 0.0000 3.6680 8.6231
Cl 3.1766 1.8340 0.0515
Cl 2.1850 3.8169 5.9762
Cl 4.3981 0.0162 2.6984
Cl 4.1402 3.8007 2.6984
```

Results
Space-group type: P-3 (147)
Formation energy (no corrections) in eV per atom: -1.07

---

# 10
Compound: SmAgSnIr
Source: the Alexandria database
Functional: PBE
Structure: optimized geometry

Cell and atoms, written as extended XYZ:
```
4
Lattice="0.0000 3.4598 3.4598 3.4598 0.0000 3.4598 3.4598 3.4598 0.0000" Properties=species:S:1:pos:R:3 pbc="T T T"
Sm 0.0000 0.0000 0.0000
Ag 5.1898 5.1898 5.1898
Sn 3.4598 3.4598 3.4598
Ir 1.7299 1.7299 1.7299
```

Results
Formation energy from the elements in eV per atom: -0.374
Space-group type: F-43m (216)

---

# 11
Compound: Pm2Dy2Te7
Source: the Alexandria database
Functional: PBE
Structure: optimized geometry

Cell and atoms, written as extended XYZ:
```
11
Lattice="5.3403 -5.6322 0.0000 5.3403 5.6322 0.0000 0.0000 0.0000 6.8303" Properties=species:S:1:pos:R:3 pbc="T T T"
Pm 2.5505 0.0000 0.0000
Pm 8.1301 0.0000 0.0000
Dy 5.3403 2.9838 3.4152
Dy 5.3403 -2.9838 3.4152
Te 0.0000 0.0000 1.7413
Te 0.0000 0.0000 5.0890
Te 2.6702 2.8161 1.6675
Te 2.6702 2.8161 5.1628
Te 2.6702 -2.8161 1.6675
Te 2.6702 -2.8161 5.1628
Te 5.3403 0.0000 3.4152
```

Results
Space-group type: Cmmm (65)
Formation energy (no corrections) in eV per atom: -1.03

---

# 12
Compound: CaMoRh
Source: the Alexandria database
Functional: PBE
Structure: optimized geometry

Cell and atoms, written as extended XYZ:
```
3
Lattice="0.0000 3.1627 3.1627 3.1627 0.0000 3.1627 3.1627 3.1627 0.0000" Properties=species:S:1:pos:R:3 pbc="T T T"
Ca 0.0000 0.0000 0.0000
Mo 3.1627 3.1627 3.1627
Rh 4.7441 4.7441 4.7441
```

Results
Distance to the lowest polymorph of the same formula in meV per atom: 364.0
Formation energy from the elements in eV per atom: 0.544
Space-group type: F-43m (216)

---

Calculated values (μB per atom) of size of the total moment for the records, taken in order: 0.00 0.77 0.06 0.20 0.00 0.00 1.05 0.07 0.26 0.00 0.00 0.00.